#w
VASP calculation (GGA-PBE) on a relaxed structure of KNaCr3.

a = 5.8262 Å, b = 5.8262 Å, c = 5.8262 Å
α = 90.00°, β = 90.00°, γ = 90.00°
Closest atoms and distances in Å follow each position.
Space group Pm-3m (No. 221)
Asymmetric unit:
K1 0.0000 0.0000 0.0000 x1  6 Cr 2.91
Na1 0.5000 0.5000 0.5000 x1  12 Cr 4.12
Cr1 0.0000 0.0000 0.5000 x3  2 K 2.91

Output
Calculated volume ... 39.554 A^3/atom
Magnetic moment ... 15.71 Bohr magnetons per cell

#x
VASP calculation (GGA-PBE) on a relaxed structure of KNaCr3.

a = 5.4961 Å, b = 5.4961 Å, c = 5.4961 Å
α = 90.00°, β = 90.00°, γ = 90.00°
Closest atoms and distances in Å follow each position.
Space group Pm-3m (No. 221)
Asymmetric unit:
K1 0.0000 0.0000 0.0000 x1  12 Cr 3.89
Na1 0.5000 0.5000 0.5000 x1  6 Cr 2.75
Cr1 0.0000 0.5000 0.5000 x3  2 Na 2.75

Output
Calculated volume ... 33.204 A^3/atom
Magnetic moment ... 15.06 Bohr magnetons per cell

Most stable: #x (next structure +35.7 kJ/mol of atoms)